Record 1
DFT (GGA-PBE) results for a relaxed structure of Ac2CdRuC.

## Properties
* N(E_F): 2.90 states/eV per cell
* ρ: 8.9 g/cm³
* energy of formation: -0.17 eV/atom
* total energy: -28.48 eV for the cell shown

CIF file:
```
data_Ac2CdRuC
_cell_length_a 5.6428
_cell_length_b 5.6428
_cell_length_c 3.9798
_cell_angle_alpha 90.00
_cell_angle_beta 90.00
_cell_angle_gamma 90.00
_space_group_name_H-M_alt 'P 4/m m m'
_space_group_IT_number 123
_space_group_name_Hall '-P 4 2'
loop_
_atom_site_label
_atom_site_fract_x
_atom_site_fract_y
_atom_site_fract_z
_atom_site_occupancy
Ac1 0.0000 0.5000 0.0000 1
Cd1 0.0000 0.0000 0.5000 1
Ru1 0.5000 0.5000 0.5000 1
C1 0.5000 0.5000 0.0000 1
```

***

Record 2
DFT (GGA-PBE) results for a relaxed structure of SrZn2Ag.

## Properties
* N(E_F): 2.18 states/eV per cell
* ρ: 5.3 g/cm³
* energy of formation: -0.13 eV/atom
* total energy: -7.58 eV for the cell shown

CIF file:
```
data_SrZn2Ag
_cell_length_a 4.2230
_cell_length_b 4.7317
_cell_length_c 5.1319
_cell_angle_alpha 90.00
_cell_angle_beta 90.08
_cell_angle_gamma 90.00
_space_group_name_H-M_alt 'P 1 2/m 1'
_space_group_IT_number 10
loop_
_space_group_symop_operation_xyz
'x,y,z'
'-x,-y,-z'
'-x,y,-z'
'x,-y,z'
loop_
_atom_site_label
_atom_site_fract_x
_atom_site_fract_y
_atom_site_fract_z
_atom_site_occupancy
Sr1 0.0000 0.0000 0.0000 1
Zn1 0.4991 0.5000 0.7489 1
Ag1 0.5000 0.0000 0.5000 1
```

***

Record 3
DFT (GGA-PBE) results for a relaxed structure of HfCo6B.

## Properties
* N(E_F): 29.98 states/eV per cell
* ρ: 9.3 g/cm³
* energy of formation: 0.05 eV/atom
* total energy: -176.53 eV for the cell shown

CIF file:
```
data_HfCo6B
_cell_length_a 5.1923
_cell_length_b 5.1923
_cell_length_c 12.4808
_cell_angle_alpha 90.00
_cell_angle_beta 90.00
_cell_angle_gamma 120.00
_space_group_name_H-M_alt 'R -3 m'
_space_group_IT_number 166
_space_group_name_Hall '-R 3 2"'
loop_
_atom_site_label
_atom_site_fract_x
_atom_site_fract_y
_atom_site_fract_z
_atom_site_occupancy
Hf1 0.0000 0.0000 0.0000 1
Co1 0.0341 0.5170 0.9115 1
B1 0.0000 0.0000 0.5000 1
```

***

Record 4
DFT (GGA-PBE) results for a relaxed structure of PuGeF.

## Properties
* N(E_F): 37.53 states/eV per cell
* ρ: 10.0 g/cm³
* total energy: -104.94 eV for the cell shown

CIF file:
```
data_PuGeF
_cell_length_a 3.9408
_cell_length_b 14.1806
_cell_length_c 3.9784
_cell_angle_alpha 90.00
_cell_angle_beta 90.00
_cell_angle_gamma 90.00
_space_group_name_H-M_alt 'C m c m'
_space_group_IT_number 63
_space_group_name_Hall '-C 2c 2'
loop_
_atom_site_label
_atom_site_fract_x
_atom_site_fract_y
_atom_site_fract_z
_atom_site_occupancy
Pu1 0.0000 0.1367 0.2500 1
Ge1 0.0000 0.4476 0.2500 1
F1 0.0000 0.2534 0.7500 1
```

***

Record 5
DFT (GGA-PBE) results for a relaxed structure of Dy2Cu3Pt.

## Properties
* N(E_F): 35.50 states/eV per cell
* ρ: 10.4 g/cm³
* energy of formation: -0.53 eV/atom
* total energy: -245.68 eV for the cell shown

CIF file:
```
data_Dy2Cu3Pt
_cell_length_a 7.0798
_cell_length_b 8.5343
_cell_length_c 14.9886
_cell_angle_alpha 90.00
_cell_angle_beta 90.00
_cell_angle_gamma 90.00
_space_group_name_H-M_alt 'F m m m'
_space_group_IT_number 69
_space_group_name_Hall '-F 2 2'
loop_
_atom_site_label
_atom_site_fract_x
_atom_site_fract_y
_atom_site_fract_z
_atom_site_occupancy
Dy1 0.2475 0.0000 0.0000 1
Dy2 0.2500 0.2500 0.2500 1
Cu1 0.0000 0.0000 0.3368 1
Cu2 0.0000 0.2428 0.4193 1
Pt1 0.0000 0.0000 0.1663 1
```

***

Record 6
DFT (GGA-PBE) results for a relaxed structure of InReTe2.

## Properties
* N(E_F): 6.12 states/eV per cell
* ρ: 8.6 g/cm³
* total energy: -40.84 eV for the cell shown

CIF file:
```
data_InReTe2
_cell_length_a 10.4224
_cell_length_b 3.3557
_cell_length_c 6.6781
_cell_angle_alpha 90.00
_cell_angle_beta 113.68
_cell_angle_gamma 90.00
_space_group_name_H-M_alt 'C 1 m 1'
_space_group_IT_number 8
loop_
_space_group_symop_operation_xyz
'x,y,z'
'x,-y,z'
'x+1/2,y+1/2,z'
'x+1/2,-y+1/2,z'
loop_
_atom_site_label
_atom_site_fract_x
_atom_site_fract_y
_atom_site_fract_z
_atom_site_occupancy
In1 0.0000 0.0000 0.0000 1
Re1 0.2187 0.5000 0.9960 1
Te1 0.2000 0.0000 0.6732 1
Te2 0.3745 0.0000 0.3126 1
```

***

Record 7
DFT (GGA-PBE) results for a relaxed structure of Cu2RuCl.

## Properties
* N(E_F): 4.79 states/eV per cell
* ρ: 7.8 g/cm³
* total energy: -34.06 eV for the cell shown

CIF file:
```
data_Cu2RuCl
_cell_length_a 10.1563
_cell_length_b 2.7927
_cell_length_c 4.3648
_cell_angle_alpha 90.00
_cell_angle_beta 114.96
_cell_angle_gamma 90.00
_space_group_name_H-M_alt 'C 1 2/m 1'
_space_group_IT_number 12
loop_
_space_group_symop_operation_xyz
'x,y,z'
'-x,-y,-z'
'-x,y,-z'
'x,-y,z'
'x+1/2,y+1/2,z'
'-x+1/2,-y+1/2,-z'
'-x+1/2,y+1/2,-z'
'x+1/2,-y+1/2,z'
loop_
_atom_site_label
_atom_site_fract_x
_atom_site_fract_y
_atom_site_fract_z
_atom_site_occupancy
Cu1 0.2483 0.0000 0.2478 1
Ru1 0.0000 0.5000 0.0000 1
Cl1 0.0000 0.0000 0.5000 1
```

***

Record 8
DFT (GGA-PBE) results for a relaxed structure of Cr3PdPb.

## Properties
* N(E_F): 12.56 states/eV per cell
* ρ: 7.2 g/cm³
* energy of formation: 2.55 eV/atom
* total energy: -25.04 eV for the cell shown

CIF file:
```
data_Cr3PdPb
_cell_length_a 4.7698
_cell_length_b 4.7698
_cell_length_c 4.7698
_cell_angle_alpha 90.00
_cell_angle_beta 90.00
_cell_angle_gamma 90.00
_space_group_name_H-M_alt 'P m -3 m'
_space_group_IT_number 221
_space_group_name_Hall '-P 4 2 3'
loop_
_atom_site_label
_atom_site_fract_x
_atom_site_fract_y
_atom_site_fract_z
_atom_site_occupancy
Cr1 0.0000 0.0000 0.5000 1
Pd1 0.5000 0.5000 0.5000 1
Pb1 0.0000 0.0000 0.0000 1
```